CaMgZrZn | PBE | relaxed

Properties
- Theoretical density: 4.0 g cm⁻³
- ΔE_f: 0.06 eV per atom
- Space group: No. 216

abc: 5.0709 5.0709 5.0709
angles: 60.00 60.00 60.00
Sites, in units of the cell vectors:
Mg  0.5000  0.5000  0.5000
Zn  0.0000  0.0000  0.0000
Ca  0.7500  0.7500  0.7500
Zr  0.2500  0.2500  0.2500

---

CaMgZr3 | PBE | relaxed

Properties
- Offset from the most stable computed form: 521.5 meV/atom
- Theoretical density: 4.1 g cm⁻³
- ΔE_f: 1.47 eV per atom
- Space group: No. 221

abc: 5.1453 5.1453 5.1453
angles: 90.00 90.00 90.00
Sites, in units of the cell vectors:
Ca  0.0000  0.0000  0.0000
Mg  0.5000  0.5000  0.5000
Zr  0.0000  0.5000  0.0000
Zr  0.0000  0.0000  0.5000
Zr  0.5000  0.0000  0.0000

---

CaMgZr3 | PBE | relaxed

Properties
- Offset from the most stable computed form: 0.0 meV/atom
- Theoretical density: 3.9 g cm⁻³
- ΔE_f: 0.95 eV per atom
- Space group: No. 221

abc: 5.2397 5.2397 5.2397
angles: 90.00 90.00 90.00
Sites, in units of the cell vectors:
Ca  0.5000  0.5000  0.5000
Mg  0.0000  0.0000  0.0000
Zr  0.0000  0.5000  0.0000
Zr  0.0000  0.0000  0.5000
Zr  0.5000  0.0000  0.0000

---

CaMg2Zr2 | PBE | relaxed

Properties
- Offset from the most stable computed form: 102.2 meV/atom
- Theoretical density: 3.3 g cm⁻³
- ΔE_f: 0.29 eV per atom
- Space group: No. 139

abc: 7.9335 7.9335 7.9335
angles: 148.65 148.65 44.93
Sites, in units of the cell vectors:
Ca  0.0000  0.0000  0.0000
Mg  0.5998  0.5998  0.0000
Mg  0.4002  0.4002  0.0000
Zr  0.2500  0.7500  0.5000
Zr  0.7500  0.2500  0.5000

---

Ca4MgZr | PBE | relaxed

Properties
- Theoretical density: 2.2 g cm⁻³
- ΔE_f: 0.57 eV per atom
- Space group: No. 216

abc: 6.6647 6.6647 6.6647
angles: 60.00 60.00 60.00
Sites, in units of the cell vectors:
Ca  0.8770  0.3743  0.3743
Ca  0.3743  0.3743  0.8770
Ca  0.3743  0.8770  0.3743
Ca  0.3743  0.3743  0.3743
Mg  0.7500  0.7500  0.7500
Zr  0.0000  0.0000  0.0000

---

CaMg3Zr | PBE | relaxed

Properties
- Offset from the most stable computed form: 0.0 meV/atom
- Theoretical density: 2.0 g cm⁻³
- ΔE_f: 0.73 eV per atom
- Space group: No. 221

abc: 5.5522 5.5522 5.5522
angles: 90.00 90.00 90.00
Sites, in units of the cell vectors:
Ca  0.5000  0.5000  0.5000
Mg  0.0000  0.5000  0.0000
Mg  0.0000  0.0000  0.5000
Mg  0.5000  0.0000  0.0000
Zr  0.0000  0.0000  0.0000

---

CaMg2Zr2 | PBE | relaxed

Properties
- Offset from the most stable computed form: 0.0 meV/atom
- Theoretical density: 3.5 g cm⁻³
- ΔE_f: 0.19 eV per atom
- Space group: No. 127

abc: 8.8481 8.8481 3.2712
angles: 90.00 90.00 90.00
Sites, in units of the cell vectors:
Ca  0.0000  0.0000  0.0000
Ca  0.5000  0.5000  0.0000
Mg  0.1800  0.6800  0.5000
Mg  0.6800  0.8200  0.5000
Mg  0.8200  0.3200  0.5000
Mg  0.3200  0.1800  0.5000
Zr  0.3872  0.8872  0.0000
Zr  0.8872  0.6128  0.0000
Zr  0.6128  0.1128  0.0000
Zr  0.1128  0.3872  0.0000

---

Ca2Mn | PBE | relaxed

Properties
- Theoretical density: 2.6 g cm⁻³
- ΔE_f: 0.58 eV per atom
- Space group: No. 191

abc: 5.4965 5.4965 3.3601
angles: 90.00 90.00 120.00
Sites, in units of the cell vectors:
Ca  0.6667  0.3333  0.0000
Ca  0.3333  0.6667  0.0000
Mn  0.0000  0.0000  0.5000

---

Q: Which of these has the highest ΔE_f?
A: number 2

---

Q: Which value of theoretical density does entry 5 give?
A: 2.2 g cm⁻³

---

Q: What is the ΔE_f in the first record?
A: 0.06 eV per atom

---

Q: Which value of theoretical density does entry 2 give?
A: 4.1 g cm⁻³